A relaxed structure of YAl2Cl. Source: the Alexandria database, functional GGA-PBEsol.

Computed properties:
* density of states at the Fermi level: 5.3 states/eV per cell
* formation energy from raw total energies: -497 meV per atom

The structure in CIF format:
```
data_YAl2Cl
_chemical_formula_sum 'Y2 Al4 Cl2'
_cell_length_a 3.8718
_cell_length_b 3.8718
_cell_length_c 10.7825
_cell_angle_alpha 90.00
_cell_angle_beta 90.00
_cell_angle_gamma 90.00
_space_group_name_H-M_alt 'I 4/m m m'
_space_group_IT_number 139
_space_group_name_Hall '-I 4 2'
loop_
_atom_site_label
_atom_site_fract_x
_atom_site_fract_y
_atom_site_fract_z
Y1 0.0000 0.0000 0.0000
Al1 0.0000 0.5000 0.2500
Cl1 0.0000 0.0000 0.5000
```